(1)
# La2CrMo (PBE, optimized geometry)
# - Formation enthalpy at 0 K: 1.767 eV/f.u.
# - VASP energy: -28.5 eV for the cell shown
data_La2CrMo
_chemical_formula_sum 'La2 Cr1 Mo1'
_symmetry_space_group_name_H-M 'P 1 m 1'
_symmetry_Int_Tables_number 6
_cell_length_a 3.2759
_cell_length_b 3.8668
_cell_length_c 8.1031
_cell_angle_alpha 90.00
_cell_angle_beta 97.74
_cell_angle_gamma 90.00
loop_
_symmetry_equiv_pos_as_xyz
'x,y,z'
'x,-y,z'
loop_
_atom_site_label
_atom_site_type_symbol
_atom_site_fract_x
_atom_site_fract_y
_atom_site_fract_z
La1 La 0.0000 0.0000 0.0000
La2 La 0.2672 0.5000 0.5987
Cr1 Cr 0.7936 0.0000 0.3576
Mo1 Mo 0.4361 0.5000 0.2488

***

(2)
# MgFeTe2Ir (PBE, optimized geometry)
# - Uncorrected formation energy: 1582 meV/atom
# - VASP energy: -17.3 eV for the cell shown
data_MgFeTe2Ir
_chemical_formula_sum 'Mg1 Fe1 Te2 Ir1'
_symmetry_space_group_name_H-M 'P 4/m m m'
_symmetry_Int_Tables_number 123
_symmetry_space_group_name_Hall '-P 4 2'
_cell_length_a 5.2108
_cell_length_b 5.2108
_cell_length_c 4.6263
_cell_angle_alpha 90.00
_cell_angle_beta 90.00
_cell_angle_gamma 90.00
loop_
_atom_site_label
_atom_site_type_symbol
_atom_site_fract_x
_atom_site_fract_y
_atom_site_fract_z
Mg1 Mg 0.0000 0.0000 0.0000
Fe1 Fe 0.5000 0.5000 0.5000
Te1 Te 0.0000 0.5000 0.0000
Ir1 Ir 0.0000 0.0000 0.5000

***

(3)
# Tb3PmS6 (PBE, optimized geometry)
# - Uncorrected formation energy: -2085 meV/atom
# - VASP energy: -128.5 eV for the cell shown
data_Tb3PmS6
_chemical_formula_sum 'Tb6 Pm2 S12'
_symmetry_space_group_name_H-M 'P 1 21/m 1'
_symmetry_Int_Tables_number 11
_cell_length_a 11.1074
_cell_length_b 4.0004
_cell_length_c 11.3917
_cell_angle_alpha 90.00
_cell_angle_beta 108.59
_cell_angle_gamma 90.00
loop_
_symmetry_equiv_pos_as_xyz
'x,y,z'
'-x,-y,-z'
'-x,y+1/2,-z'
'x,-y+1/2,z'
loop_
_atom_site_label
_atom_site_type_symbol
_atom_site_fract_x
_atom_site_fract_y
_atom_site_fract_z
Tb1 Tb 0.0634 0.2500 0.1682
Tb2 Tb 0.1811 0.7500 0.5028
Tb3 Tb 0.3391 0.2500 0.9147
Pm1 Pm 0.4534 0.2500 0.3078
S1 S 0.0223 0.2500 0.3882
S2 S 0.1027 0.2500 0.9385
S3 S 0.2407 0.7500 0.2746
S4 S 0.3066 0.7500 0.7510
S5 S 0.3853 0.2500 0.5372
S6 S 0.4176 0.7500 0.0965

***

(4)
# CeYPu2Te5 (PBE, optimized geometry)
# - Uncorrected formation energy: -608 meV/atom
# - VASP energy: -62.2 eV for the cell shown
data_CeYPu2Te5
_chemical_formula_sum 'Ce1 Y1 Pu2 Te5'
_symmetry_space_group_name_H-M 'P 4/m m m'
_symmetry_Int_Tables_number 123
_symmetry_space_group_name_Hall '-P 4 2'
_cell_length_a 5.6594
_cell_length_b 5.6594
_cell_length_c 11.6038
_cell_angle_alpha 90.00
_cell_angle_beta 90.00
_cell_angle_gamma 90.00
loop_
_atom_site_label
_atom_site_type_symbol
_atom_site_fract_x
_atom_site_fract_y
_atom_site_fract_z
Ce1 Ce 0.0000 0.0000 0.0000
Y1 Y 0.0000 0.0000 0.5000
Pu1 Pu 0.5000 0.5000 0.1719
Te1 Te 0.0000 0.0000 0.2571
Te2 Te 0.0000 0.5000 0.0000
Te3 Te 0.5000 0.5000 0.5000

***

Which formula does entry 2 have?
MgFeTe2Ir

***

What is the formula in the first record?
La2CrMo